1.
HoC8 after structural relaxation. Source: the Open Quantum Materials Database, functional PBE-GGA.

CIF file:
```
data_HoC8
_cell_length_a 5.0087
_cell_length_b 5.0087
_cell_length_c 4.2597
_cell_angle_alpha 90.00
_cell_angle_beta 90.00
_cell_angle_gamma 120.00
_space_group_name_H-M_alt 'P 6/m m m'
_space_group_IT_number 191
_space_group_name_Hall '-P 6 2'
loop_
_atom_site_label
_atom_site_type_symbol
_atom_site_fract_x
_atom_site_fract_y
_atom_site_fract_z
Ho1 Ho 0.0000 0.0000 0.0000
C1 C 0.1680 0.3360 0.5000
C2 C 0.3333 0.6667 0.5000
```

Computed properties:
- Raw total energy: -8.665 eV/atom
- Spin magnetization: 0.0 Bohr magnetons per cell

=====

2.
Ta2Co3 after structural relaxation. Source: the Open Quantum Materials Database, functional PBE-GGA.

CIF file:
```
data_Ta2Co3
_cell_length_a 8.9849
_cell_length_b 8.9849
_cell_length_c 5.0127
_cell_angle_alpha 90.00
_cell_angle_beta 90.00
_cell_angle_gamma 90.00
_space_group_name_H-M_alt 'P 42/m n m'
_space_group_IT_number 136
_space_group_name_Hall '-P 4n 2n'
loop_
_atom_site_label
_atom_site_type_symbol
_atom_site_fract_x
_atom_site_fract_y
_atom_site_fract_z
Ta1 Ta 0.1087 0.1087 0.0000
Ta2 Ta 0.1843 0.8157 0.2499
Co1 Co 0.0000 0.0000 0.5000
Co2 Co 0.0363 0.3713 0.0000
Co3 Co 0.0629 0.2672 0.5000
```

Computed properties:
- Raw total energy: -9.025 eV/atom
- Spin magnetization: 5.1 Bohr magnetons per cell
- Energy relative to the elements: -1.92 kJ/mol of atoms

=====

3.
SmZrPt after structural relaxation. Source: the Open Quantum Materials Database, functional PBE-GGA.

CIF file:
```
data_SmZrPt
_cell_length_a 6.6242
_cell_length_b 6.6242
_cell_length_c 6.6242
_cell_angle_alpha 90.00
_cell_angle_beta 90.00
_cell_angle_gamma 90.00
_space_group_name_H-M_alt 'F -4 3 m'
_space_group_IT_number 216
_space_group_name_Hall 'F -4 2 3'
loop_
_atom_site_label
_atom_site_type_symbol
_atom_site_fract_x
_atom_site_fract_y
_atom_site_fract_z
Sm1 Sm 0.0000 0.0000 0.0000
Zr1 Zr 0.2500 0.2500 0.2500
Pt1 Pt 0.2500 0.2500 0.7500
```

Computed properties:
- Raw total energy: -6.149 eV/atom
- Spin magnetization: 0.0 Bohr magnetons per cell
- Offset from the most stable computed form: 0.3396 eV per atom
- Energy relative to the elements: 27.91 kJ/mol of atoms

=====

4.
KGaSnPt after structural relaxation. Source: the Open Quantum Materials Database, functional PBE-GGA.

CIF file:
```
data_KGaSnPt
_cell_length_a 4.3912
_cell_length_b 12.4853
_cell_length_c 7.5671
_cell_angle_alpha 90.00
_cell_angle_beta 90.00
_cell_angle_gamma 90.00
_space_group_name_H-M_alt 'C m c 21'
_space_group_IT_number 36
loop_
_space_group_symop_operation_xyz
'x,y,z'
'-x,-y,z+1/2'
'-x,y,z'
'x,-y,z+1/2'
'x+1/2,y+1/2,z'
'-x+1/2,-y+1/2,z+1/2'
'-x+1/2,y+1/2,z'
'x+1/2,-y+1/2,z+1/2'
loop_
_atom_site_label
_atom_site_type_symbol
_atom_site_fract_x
_atom_site_fract_y
_atom_site_fract_z
K1 K 0.0000 0.0490 0.0000
Ga1 Ga 0.0000 0.3130 0.2066
Sn1 Sn 0.0000 0.3382 0.8186
Pt1 Pt 0.0000 0.2182 0.5164
```

Computed properties:
- Raw total energy: -3.967 eV/atom
- Spin magnetization: 0.0 Bohr magnetons per cell
- Offset from the most stable computed form: 0.0292 eV per atom

=====

5.
Dy2NbO2 after structural relaxation. Source: the Open Quantum Materials Database, functional PBE-GGA.

CIF file:
```
data_Dy2NbO2
_cell_length_a 4.0743
_cell_length_b 4.0743
_cell_length_c 10.7301
_cell_angle_alpha 90.00
_cell_angle_beta 90.00
_cell_angle_gamma 90.00
_space_group_name_H-M_alt 'I 4/m m m'
_space_group_IT_number 139
_space_group_name_Hall '-I 4 2'
loop_
_atom_site_label
_atom_site_type_symbol
_atom_site_fract_x
_atom_site_fract_y
_atom_site_fract_z
Dy1 Dy 0.0000 0.0000 0.1506
Nb1 Nb 0.0000 0.0000 0.5000
O1 O 0.0000 0.5000 0.0000
```

Computed properties:
- Raw total energy: -7.519 eV/atom
- Spin magnetization: 2.0 Bohr magnetons per cell

=====

6.
TaBeCuSi after structural relaxation. Source: the Open Quantum Materials Database, functional PBE-GGA.

CIF file:
```
data_TaBeCuSi
_cell_length_a 5.9283
_cell_length_b 5.9283
_cell_length_c 5.9283
_cell_angle_alpha 90.00
_cell_angle_beta 90.00
_cell_angle_gamma 90.00
_space_group_name_H-M_alt 'F -4 3 m'
_space_group_IT_number 216
_space_group_name_Hall 'F -4 2 3'
loop_
_atom_site_label
_atom_site_type_symbol
_atom_site_fract_x
_atom_site_fract_y
_atom_site_fract_z
Ta1 Ta 0.0000 0.0000 0.0000
Be1 Be 0.2500 0.2500 0.2500
Cu1 Cu 0.2500 0.2500 0.7500
Si1 Si 0.0000 0.0000 0.5000
```

Computed properties:
- Raw total energy: -5.761 eV/atom
- Spin magnetization: 0.5 Bohr magnetons per cell
- Offset from the most stable computed form: 0.2365 eV per atom

=====

7.
MgCuNiAs after structural relaxation. Source: the Open Quantum Materials Database, functional PBE-GGA.

CIF file:
```
data_MgCuNiAs
_cell_length_a 6.1357
_cell_length_b 6.1357
_cell_length_c 6.1357
_cell_angle_alpha 90.00
_cell_angle_beta 90.00
_cell_angle_gamma 90.00
_space_group_name_H-M_alt 'F -4 3 m'
_space_group_IT_number 216
_space_group_name_Hall 'F -4 2 3'
loop_
_atom_site_label
_atom_site_type_symbol
_atom_site_fract_x
_atom_site_fract_y
_atom_site_fract_z
Mg1 Mg 0.0000 0.0000 0.0000
Cu1 Cu 0.0000 0.0000 0.5000
Ni1 Ni 0.2500 0.2500 0.7500
As1 As 0.2500 0.2500 0.2500
```

Computed properties:
- Raw total energy: -3.857 eV/atom
- Spin magnetization: 0.0 Bohr magnetons per cell
- Offset from the most stable computed form: 0.1305 eV per atom

=====

8.
Y2ReB after structural relaxation. Source: the Open Quantum Materials Database, functional PBE-GGA.

CIF file:
```
data_Y2ReB
_cell_length_a 6.5706
_cell_length_b 6.5706
_cell_length_c 6.5706
_cell_angle_alpha 90.00
_cell_angle_beta 90.00
_cell_angle_gamma 90.00
_space_group_name_H-M_alt 'F -4 3 m'
_space_group_IT_number 216
_space_group_name_Hall 'F -4 2 3'
loop_
_atom_site_label
_atom_site_type_symbol
_atom_site_fract_x
_atom_site_fract_y
_atom_site_fract_z
Y1 Y 0.0000 0.0000 0.0000
Y2 Y 0.2500 0.2500 0.2500
Re1 Re 0.2500 0.2500 0.7500
B1 B 0.0000 0.0000 0.5000
```

Computed properties:
- Raw total energy: -7.181 eV/atom
- Spin magnetization: 0.2 Bohr magnetons per cell